(1)
ScZn3Te after structural relaxation. Source: Alexandria via LeMat-Bulk, functional PBE-GGA.

Results
Spin magnetization in μB/f.u.: 0.00
Calculated density in g/cm3: 4.4
Volume in Å³/cell: 138.02
SG: Pm-3m, No. 221
Energy relative to the elements, uncorrected in meV per atom: 692
Distance to the lowest polymorph of the same formula in eV/f.u.: 0.25

Cell lengths 5.1678, 5.1678, 5.1678 Å; angles 90.00, 90.00, 90.00 degrees
Positions (direct):
Sc 0.0000 0.0000 0.0000
Zn 0.0000 0.5000 0.5000
Zn 0.5000 0.0000 0.5000
Zn 0.5000 0.5000 0.0000
Te 0.5000 0.5000 0.5000

(2)
ScZn2Te after structural relaxation. Source: Alexandria via LeMat-Bulk, functional PBE-GGA.

Results
Spin magnetization in μB/f.u.: 0.00
Calculated density in g/cm3: 5.9
Volume in Å³/cell: 341.10
SG: F-43m, No. 216
Energy relative to the elements, uncorrected in meV per atom: -143

Cell lengths 6.9871, 6.9871, 6.9871 Å; angles 90.00, 90.00, 90.00 degrees
Positions (direct):
Sc 0.0000 0.0000 0.0000
Sc 0.0000 0.5000 0.5000
Sc 0.5000 0.0000 0.5000
Sc 0.5000 0.5000 0.0000
Zn 0.0000 0.0000 0.5000
Zn 0.0000 0.5000 0.0000
Zn 0.2500 0.2500 0.2500
Zn 0.2500 0.7500 0.7500
Zn 0.5000 0.0000 0.0000
Zn 0.5000 0.5000 0.5000
Zn 0.7500 0.2500 0.7500
Zn 0.7500 0.7500 0.2500
Te 0.2500 0.2500 0.7500
Te 0.2500 0.7500 0.2500
Te 0.7500 0.2500 0.2500
Te 0.7500 0.7500 0.7500

(3)
ScZnTe3 after structural relaxation. Source: Alexandria via LeMat-Bulk, functional PBE-GGA.

Results
Spin magnetization in μB/f.u.: 0.00
Calculated density in g/cm3: 5.6
Volume in Å³/cell: 145.90
SG: Pm-3m, No. 221
Energy relative to the elements, uncorrected in meV per atom: 112
Distance to the lowest polymorph of the same formula in eV/f.u.: 3.88

Cell lengths 5.2644, 5.2644, 5.2644 Å; angles 90.00, 90.00, 90.00 degrees
Positions (direct):
Sc 0.0000 0.0000 0.0000
Zn 0.5000 0.5000 0.5000
Te 0.0000 0.5000 0.5000
Te 0.5000 0.0000 0.5000
Te 0.5000 0.5000 0.0000

(4)
ZrSc3Te after structural relaxation. Source: Alexandria via LeMat-Bulk, functional PBE-GGA.

Results
Spin magnetization in μB/f.u.: 0.00
Calculated density in g/cm3: 4.2
Volume in Å³/cell: 141.46
SG: Pm-3m, No. 221
Energy relative to the elements, uncorrected in meV per atom: 544
Distance to the lowest polymorph of the same formula in eV/f.u.: 1.37

Cell lengths 5.2105, 5.2105, 5.2105 Å; angles 90.00, 90.00, 90.00 degrees
Positions (direct):
Zr 0.0000 0.0000 0.0000
Sc 0.0000 0.0000 0.5000
Sc 0.0000 0.5000 0.0000
Sc 0.5000 0.0000 0.0000
Te 0.5000 0.5000 0.5000

(5)
Zr3ScTe after structural relaxation. Source: Alexandria via LeMat-Bulk, functional PBE-GGA.

Results
Spin magnetization in μB/f.u.: 0.00
Calculated density in g/cm3: 5.0
Volume in Å³/cell: 147.04
SG: Pm-3m, No. 221
Energy relative to the elements, uncorrected in meV per atom: 428
Distance to the lowest polymorph of the same formula in eV/f.u.: 0.00

Cell lengths 5.2781, 5.2781, 5.2781 Å; angles 90.00, 90.00, 90.00 degrees
Positions (direct):
Zr 0.0000 0.0000 0.5000
Zr 0.0000 0.5000 0.0000
Zr 0.5000 0.0000 0.0000
Sc 0.5000 0.5000 0.5000
Te 0.0000 0.0000 0.0000

(6)
Zr2ScTe6 after structural relaxation. Source: Alexandria via LeMat-Bulk, functional PBE-GGA.

Results
Spin magnetization in μB/f.u.: 0.00
Calculated density in g/cm3: 5.5
Volume in Å³/cell: 597.57
SG: P4_2/mnm, No. 136
Energy relative to the elements, uncorrected in meV per atom: -778

Cell lengths 7.0039, 7.0039, 12.1817 Å; angles 90.00, 90.00, 90.00 degrees
Positions (direct):
Zr 0.0000 0.0000 0.1653
Zr 0.0000 0.0000 0.8347
Zr 0.5000 0.5000 0.3347
Zr 0.5000 0.5000 0.6653
Sc 0.0000 0.0000 0.5000
Sc 0.5000 0.5000 0.0000
Te 0.2042 0.2042 0.3322
Te 0.2042 0.2042 0.6678
Te 0.2052 0.2052 0.0000
Te 0.2948 0.7052 0.5000
Te 0.2958 0.7042 0.1678
Te 0.2958 0.7042 0.8322
Te 0.7042 0.2958 0.1678
Te 0.7042 0.2958 0.8322
Te 0.7052 0.2948 0.5000
Te 0.7948 0.7948 0.0000
Te 0.7958 0.7958 0.3322
Te 0.7958 0.7958 0.6678

(7)
Zr3ScTe after structural relaxation. Source: Alexandria via LeMat-Bulk, functional PBE-GGA.

Results
Spin magnetization in μB/f.u.: 0.00
Calculated density in g/cm3: 5.7
Volume in Å³/cell: 130.91
SG: Pm-3m, No. 221
Energy relative to the elements, uncorrected in meV per atom: 912
Distance to the lowest polymorph of the same formula in eV/f.u.: 2.42

Cell lengths 5.0777, 5.0777, 5.0777 Å; angles 90.00, 90.00, 90.00 degrees
Positions (direct):
Zr 0.0000 0.0000 0.5000
Zr 0.0000 0.5000 0.0000
Zr 0.5000 0.0000 0.0000
Sc 0.0000 0.0000 0.0000
Te 0.5000 0.5000 0.5000

(8)
ZrSc3Te after structural relaxation. Source: Alexandria via LeMat-Bulk, functional PBE-GGA.

Results
Spin magnetization in μB/f.u.: 0.00
Calculated density in g/cm3: 4.0
Volume in Å³/cell: 145.63
SG: Pm-3m, No. 221
Energy relative to the elements, uncorrected in meV per atom: 270
Distance to the lowest polymorph of the same formula in eV/f.u.: 0.00

Cell lengths 5.2612, 5.2612, 5.2612 Å; angles 90.00, 90.00, 90.00 degrees
Positions (direct):
Zr 0.0000 0.0000 0.0000
Sc 0.0000 0.5000 0.5000
Sc 0.5000 0.0000 0.5000
Sc 0.5000 0.5000 0.0000
Te 0.5000 0.5000 0.5000

(9)
Zr3ScTe3 after structural relaxation. Source: Alexandria via LeMat-Bulk, functional PBE-GGA.

Results
Spin magnetization in μB/f.u.: 0.00
Calculated density in g/cm3: 6.3
Volume in Å³/cell: 369.84
SG: R-3, No. 148
Energy relative to the elements, uncorrected in meV per atom: -627

Cell lengths 8.4867, 8.4867, 8.4867 Å; angles 53.83, 53.83, 53.83 degrees
Positions (direct):
Zr 0.0524 0.5527 0.7709
Zr 0.2291 0.9476 0.4473
Zr 0.4473 0.2291 0.9476
Zr 0.5527 0.7709 0.0524
Zr 0.7709 0.0524 0.5527
Zr 0.9476 0.4473 0.2291
Sc 0.3389 0.3389 0.3389
Sc 0.6611 0.6611 0.6611
Te 0.1195 0.7660 0.3310
Te 0.2340 0.6690 0.8805
Te 0.3310 0.1195 0.7660
Te 0.6690 0.8805 0.2340
Te 0.7660 0.3310 0.1195
Te 0.8805 0.2340 0.6690

(10)
Zr4ScTe8 after structural relaxation. Source: Alexandria via LeMat-Bulk, functional PBE-GGA.

Results
Spin magnetization in μB/f.u.: 0.00
Calculated density in g/cm3: 6.1
Volume in Å³/cell: 386.42
SG: R-3m, No. 166
Energy relative to the elements, uncorrected in meV per atom: -945

Cell lengths 8.3738, 8.3738, 8.3738 Å; angles 56.99, 56.99, 56.99 degrees
Positions (direct):
Zr 0.0000 0.0000 0.0000
Zr 0.0000 0.5000 0.5000
Zr 0.5000 0.0000 0.5000
Zr 0.5000 0.5000 0.0000
Sc 0.5000 0.5000 0.5000
Te 0.2390 0.7500 0.7500
Te 0.2485 0.2485 0.2485
Te 0.2500 0.2500 0.7610
Te 0.2500 0.7610 0.2500
Te 0.7500 0.2390 0.7500
Te 0.7500 0.7500 0.2390
Te 0.7515 0.7515 0.7515
Te 0.7610 0.2500 0.2500

(11)
Zr4ScTe2 after structural relaxation. Source: Alexandria via LeMat-Bulk, functional PBE-GGA.

Results
Spin magnetization in μB/f.u.: 0.00
Calculated density in g/cm3: 6.2
Volume in Å³/cell: 355.82
SG: I4/mmm, No. 139
Energy relative to the elements, uncorrected in meV per atom: 463

Cell lengths 4.8263, 4.8263, 15.2755 Å; angles 90.00, 90.00, 90.00 degrees
Positions (direct):
Zr 0.0000 0.0000 0.1833
Zr 0.0000 0.0000 0.8167
Zr 0.0000 0.5000 0.0000
Zr 0.0000 0.5000 0.5000
Zr 0.5000 0.0000 0.0000
Zr 0.5000 0.0000 0.5000
Zr 0.5000 0.5000 0.3167
Zr 0.5000 0.5000 0.6833
Sc 0.0000 0.0000 0.0000
Sc 0.5000 0.5000 0.5000
Te 0.0000 0.0000 0.3670
Te 0.0000 0.0000 0.6330
Te 0.5000 0.5000 0.1330
Te 0.5000 0.5000 0.8670

(12)
Zr2ScTe5 after structural relaxation. Source: Alexandria via LeMat-Bulk, functional PBE-GGA.

Results
Spin magnetization in μB/f.u.: 0.00
Calculated density in g/cm3: 6.6
Volume in Å³/cell: 216.94
SG: Fmmm, No. 69
Energy relative to the elements, uncorrected in meV per atom: -801

Cell lengths 9.3778, 8.4839, 5.6057 Å; angles 80.65, 63.21, 36.14 degrees
Positions (direct):
Zr 0.1851 0.1851 0.8149
Zr 0.8149 0.8149 0.1851
Sc 0.5000 0.5000 0.5000
Te 0.0000 0.0000 0.0000
Te 0.1789 0.5083 0.4917
Te 0.4917 0.8211 0.1789
Te 0.5083 0.1789 0.8211
Te 0.8211 0.4917 0.5083

Let's list density of states at the Fermi level in order: 5.50; 2.66; 3.90; 3.94; 5.87; 5.16; 10.12; 8.31; 4.72; 6.52; 7.96; 2.79 states/eV/f.u..